Here is a relaxed structure of CaB4Ru4 from the Alexandria database. Energies are from PBE-GGA.

Computed properties:
The calculation puts the energy above the most stable polymorph in this dataset at 0.000 eV per atom. As for the total magnetization: 0.0 μB/f.u. For the total energy, the calculation gives -7.6797 eV per atom. Its symmetry is No. 86. The calculation puts the density of states at the Fermi level at 15.08 states/eV/cell. The calculation puts the formation energy at -3.30 eV/f.u.

Lattice parameters (Å, degrees): 7.4405 7.4405 4.0842 90.00 90.00 90.00
Closest atoms and distances in Å follow each position.
Sites, in units of the cell vectors:
Ca 0.2500 0.2500 0.2500  8 B 2.91-3.01, 8 Ru 3.11-3.20
Ca 0.7500 0.7500 0.7500  8 B 2.91-3.01, 8 Ru 3.11-3.20
B 0.0489 0.9202 0.1369  1 B 1.79
B 0.0798 0.5489 0.6369  1 B 1.79
B 0.4202 0.9511 0.6369  1 B 1.79
B 0.4511 0.5798 0.1369  1 B 1.79
B 0.5489 0.4202 0.8631  1 B 1.79
B 0.5798 0.0489 0.3631  1 B 1.79
B 0.9202 0.4511 0.3631  1 B 1.79
B 0.9511 0.0798 0.8631  1 B 1.79
Ru 0.1076 0.6373 0.1360  4 B 2.15-2.17
Ru 0.1373 0.8924 0.6360  4 B 2.15-2.17
Ru 0.3627 0.6076 0.6360  4 B 2.15-2.17
Ru 0.3924 0.8627 0.1360  4 B 2.15-2.17
Ru 0.6076 0.1373 0.8640  4 B 2.15-2.17
Ru 0.6373 0.3924 0.3640  4 B 2.15-2.17
Ru 0.8627 0.1076 0.3640  4 B 2.15-2.17
Ru 0.8924 0.3627 0.8640  4 B 2.15-2.17